# Na2SnWF (SCAN, PBEsol geometry)
# - Uncorrected formation energy: -0.222 eV per atom
data_Na2SnWF
_chemical_formula_sum 'Na2 Sn1 W1 F1'
_space_group_name_H-M_alt 'P 4/m m m'
_space_group_IT_number 123
_space_group_name_Hall '-P 4 2'
_cell_length_a 4.108
_cell_length_b 4.108
_cell_length_c 5.820
_cell_angle_alpha 90.00
_cell_angle_beta 90.00
_cell_angle_gamma 90.00
loop_
_atom_site_label
_atom_site_type_symbol
_atom_site_fract_x
_atom_site_fract_y
_atom_site_fract_z
Na1 Na 0.000 0.500 0.000
Sn1 Sn 0.000 0.000 0.500
W1 W 0.500 0.500 0.500
F1 F 0.500 0.500 0.000